(1)
First-principles (PBE) data for a geometry-optimized LiNpBeO6 structure, as listed in the Alexandria database.

Cell lengths 4.959, 4.959, 9.299 Å; angles 90.00, 90.00, 120.00 degrees
Positions (direct):
Li 0.000 0.000 0.000
Li 0.000 0.000 0.500
O 0.021 0.657 0.860
O 0.637 0.979 0.860
O 0.021 0.363 0.640
O 0.363 0.021 0.140
O 0.979 0.343 0.140
O 0.657 0.637 0.140
O 0.637 0.657 0.640
O 0.343 0.363 0.860
O 0.343 0.979 0.640
O 0.657 0.021 0.360
O 0.363 0.343 0.360
O 0.979 0.637 0.360
Np 0.333 0.667 0.250
Np 0.667 0.333 0.750
Be 0.333 0.667 0.750
Be 0.667 0.333 0.250

Summary:
formation energy without anion corrections: -1.815 eV per atom
magnetization: 0.0 μB/f.u.

(2)
First-principles (PBE) data for a geometry-optimized LiNpBeO4 structure, as listed in the Alexandria database.

Cell lengths 4.938, 4.938, 6.897 Å; angles 90.00, 90.00, 110.93 degrees
Positions (direct):
O 0.741 0.259 0.954
O 0.731 0.788 0.750
O 0.741 0.259 0.546
O 0.259 0.741 0.454
O 0.788 0.731 0.250
O 0.269 0.212 0.250
O 0.212 0.269 0.750
O 0.259 0.741 0.046
Be 0.148 0.852 0.250
Be 0.852 0.148 0.750
Np 0.500 0.500 0.000
Np 0.500 0.500 0.500
Li 0.840 0.160 0.250
Li 0.160 0.840 0.750

Summary:
formation energy without anion corrections: -2.629 eV per atom
magnetization: 2.0 μB/f.u.

(3)
First-principles (PBE) data for a geometry-optimized LiNpBeO5 structure, as listed in the Alexandria database.

Cell lengths 5.503, 5.503, 7.926 Å; angles 110.25, 110.25, 93.82 degrees
Positions (direct):
O 0.098 0.902 0.250
O 0.798 0.255 0.093
O 0.255 0.798 0.593
O 0.745 0.202 0.407
O 0.669 0.719 0.860
O 0.719 0.669 0.360
O 0.331 0.281 0.140
O 0.902 0.098 0.750
O 0.202 0.745 0.907
O 0.281 0.331 0.640
Np 0.000 0.000 0.500
Np 0.000 0.000 0.000
Li 0.337 0.663 0.250
Li 0.663 0.337 0.750
Be 0.655 0.345 0.250
Be 0.345 0.655 0.750

Summary:
formation energy without anion corrections: -2.448 eV per atom
magnetization: 0.0 μB/f.u.

(4)
First-principles (PBE) data for a geometry-optimized LiNp2BeO8 structure, as listed in the Alexandria database.

Cell lengths 4.469, 4.469, 7.022 Å; angles 90.00, 90.00, 94.41 degrees
Positions (direct):
O 0.785 0.215 0.240
O 0.215 0.785 0.240
O 0.697 0.697 0.500
O 0.731 0.731 0.000
O 0.215 0.785 0.760
O 0.269 0.269 0.000
O 0.303 0.303 0.500
O 0.785 0.215 0.760
Np 0.500 0.500 0.750
Np 0.500 0.500 0.250
Be 0.000 0.000 0.000
Li 0.000 0.000 0.500

Summary:
formation energy without anion corrections: -2.419 eV per atom
magnetization: 1.0 μB/f.u.

(5)
First-principles (PBE) data for a geometry-optimized Li2NpBeO6 structure, as listed in the Alexandria database.

Cell lengths 4.912, 5.138, 5.927 Å; angles 115.68, 119.96, 90.00 degrees
Positions (direct):
O 0.612 0.311 0.622
O 0.807 0.854 0.156
O 0.807 0.303 0.156
O 0.193 0.697 0.844
O 0.193 0.146 0.844
O 0.388 0.689 0.378
Np 0.000 0.500 0.000
Be 0.500 0.000 0.000
Li 0.840 0.742 0.483
Li 0.160 0.258 0.517

Summary:
formation energy without anion corrections: -2.099 eV per atom
magnetization: 0.9 μB/f.u.

(6)
First-principles (PBE) data for a geometry-optimized LiNpBe2O6 structure, as listed in the Alexandria database.

Cell lengths 5.309, 6.746, 6.746 Å; angles 81.90, 72.85, 72.85 degrees
Positions (direct):
Be 0.164 0.362 0.219
Be 0.336 0.781 0.638
Be 0.836 0.638 0.781
Be 0.664 0.219 0.362
O 0.359 0.834 0.377
O 0.173 0.603 0.708
O 0.673 0.708 0.603
O 0.813 0.018 0.226
O 0.187 0.982 0.774
O 0.141 0.623 0.166
O 0.687 0.774 0.982
O 0.327 0.292 0.397
O 0.827 0.397 0.292
O 0.641 0.166 0.623
O 0.859 0.377 0.834
O 0.313 0.226 0.018
Li 0.750 0.086 0.914
Li 0.250 0.914 0.086
Np 0.750 0.726 0.274
Np 0.250 0.274 0.726

Summary:
formation energy without anion corrections: -2.458 eV per atom
magnetization: 0.0 μB/f.u.

(7)
First-principles (PBE) data for a geometry-optimized Li3Np3BeS8 structure, as listed in the Alexandria database.

Cell lengths 7.623, 7.672, 7.510 Å; angles 120.40, 90.00, 119.79 degrees
Positions (direct):
Be 0.000 0.000 0.500
Li 0.500 0.500 0.000
Li 0.000 0.000 0.000
Li 0.000 0.500 0.000
Np 0.500 0.500 0.500
Np 0.000 0.500 0.500
Np 0.500 0.000 0.500
S 0.249 0.499 0.243
S 0.222 0.004 0.280
S 0.218 0.996 0.720
S 0.782 0.004 0.280
S 0.778 0.996 0.720
S 0.751 0.501 0.757
S 0.750 0.501 0.253
S 0.250 0.499 0.747

Summary:
formation energy without anion corrections: -1.166 eV per atom
magnetization: 10.0 μB/f.u.

(8)
First-principles (PBE) data for a geometry-optimized LiBe3O structure, as listed in the Alexandria database.

Cell lengths 3.566, 3.566, 3.566 Å; angles 90.00, 90.00, 90.00 degrees
Positions (direct):
Be 0.500 0.000 0.000
Be 0.000 0.500 0.000
Be 0.000 0.000 0.500
O 0.000 0.000 0.000
Li 0.500 0.500 0.500

Summary:
formation energy without anion corrections: -0.219 eV per atom
magnetization: 0.0 μB/f.u.

(9)
First-principles (PBE) data for a geometry-optimized Li6BeO4 structure, as listed in the Alexandria database.

Cell lengths 4.970, 6.373, 6.373 Å; angles 120.00, 90.00, 90.00 degrees
Positions (direct):
O 0.350 0.810 0.620
O 0.350 0.810 0.190
O 0.850 0.190 0.810
O 0.350 0.380 0.190
O 0.408 0.333 0.667
O 0.908 0.667 0.333
O 0.850 0.620 0.810
O 0.850 0.190 0.380
Li 0.634 0.925 0.462
Li 0.464 0.714 0.857
Li 0.634 0.538 0.462
Li 0.464 0.143 0.286
Li 0.134 0.462 0.925
Li 0.464 0.143 0.857
Li 0.964 0.857 0.714
Li 0.964 0.857 0.143
Li 0.134 0.462 0.538
Li 0.134 0.075 0.538
Li 0.634 0.538 0.075
Li 0.964 0.286 0.143
Be 0.740 0.333 0.667
Be 0.240 0.667 0.333

Summary:
formation energy without anion corrections: -1.987 eV per atom
magnetization: 0.0 μB/f.u.

(10)
First-principles (PBE) data for a geometry-optimized LiBe3O structure, as listed in the Alexandria database.

Cell lengths 3.931, 3.931, 3.931 Å; angles 90.00, 90.00, 90.00 degrees
Positions (direct):
Be 0.000 0.500 0.000
Be 0.500 0.000 0.000
Be 0.000 0.000 0.500
O 0.500 0.500 0.500
Li 0.000 0.000 0.000

Summary:
formation energy without anion corrections: 1.462 eV per atom
magnetization: 0.0 μB/f.u.

(11)
First-principles (PBE) data for a geometry-optimized LiBeO3 structure, as listed in the Alexandria database.

Cell lengths 3.502, 3.502, 3.502 Å; angles 90.00, 90.00, 90.00 degrees
Positions (direct):
O 0.000 0.500 0.500
O 0.500 0.000 0.500
O 0.500 0.500 0.000
Li 0.000 0.000 0.000
Be 0.500 0.500 0.500

Summary:
formation energy without anion corrections: -0.933 eV per atom
magnetization: 3.0 μB/f.u.

(12)
First-principles (PBE) data for a geometry-optimized Li3BeO structure, as listed in the Alexandria database.

Cell lengths 3.883, 3.883, 3.883 Å; angles 90.00, 90.00, 90.00 degrees
Positions (direct):
Li 0.000 0.500 0.000
Li 0.000 0.000 0.500
Li 0.500 0.000 0.000
O 0.000 0.000 0.000
Be 0.500 0.500 0.500

Summary:
formation energy without anion corrections: -0.599 eV per atom
magnetization: 0.0 μB/f.u.

(13)
First-principles (PBE) data for a geometry-optimized Li2BeO2 structure, as listed in the Alexandria database.

Cell lengths 4.328, 5.054, 5.054 Å; angles 54.48, 64.65, 64.65 degrees
Positions (direct):
Li 0.153 0.970 0.724
Li 0.653 0.724 0.970
Li 0.847 0.030 0.276
Li 0.347 0.276 0.030
O 0.896 0.400 0.808
O 0.604 0.192 0.600
O 0.104 0.600 0.192
O 0.396 0.808 0.400
Be 0.750 0.500 0.500
Be 0.250 0.500 0.500

Summary:
formation energy without anion corrections: -2.172 eV per atom
magnetization: 0.0 μB/f.u.

(14)
First-principles (PBE) data for a geometry-optimized Li3BeO3 structure, as listed in the Alexandria database.

Cell lengths 2.808, 5.274, 5.274 Å; angles 116.92, 100.22, 100.22 degrees
Positions (direct):
O 0.441 0.000 0.297
O 0.144 0.703 0.703
O 0.441 0.297 0.000
Li 0.484 0.440 0.440
Li 0.044 0.560 0.000
Li 0.044 0.000 0.560
Be 0.377 0.000 0.000

Summary:
formation energy without anion corrections: -1.822 eV per atom
magnetization: 1.0 μB/f.u.

(15)
First-principles (PBE) data for a geometry-optimized Li3BeO2 structure, as listed in the Alexandria database.

Cell lengths 4.655, 5.249, 5.812 Å; angles 116.85, 113.61, 90.00 degrees
Positions (direct):
O 0.357 0.621 0.241
O 0.115 0.879 0.759
O 0.885 0.121 0.241
O 0.643 0.379 0.759
Li 0.500 0.250 0.000
Li 0.758 0.508 0.516
Li 0.758 0.008 0.516
Li 0.242 0.992 0.484
Li 0.242 0.492 0.484
Li 0.500 0.750 0.000
Be 0.000 0.500 0.000
Be 0.000 0.000 0.000

Summary:
formation energy without anion corrections: -1.471 eV per atom
magnetization: 0.0 μB/f.u.

(16)
First-principles (PBE) data for a geometry-optimized Li2BeO2 structure, as listed in the Alexandria database.

Cell lengths 3.524, 5.407, 6.958 Å; angles 126.42, 90.00, 109.02 degrees
Positions (direct):
Li 0.058 0.115 0.736
Li 0.665 0.330 0.504
Li 0.335 0.670 0.496
Li 0.942 0.885 0.264
O 0.528 0.055 0.852
O 0.472 0.945 0.148
O 0.806 0.611 0.370
O 0.194 0.389 0.630
Be 0.626 0.252 0.137
Be 0.374 0.748 0.863

Summary:
formation energy without anion corrections: -2.168 eV per atom
magnetization: 0.0 μB/f.u.

(17)
First-principles (PBE) data for a geometry-optimized Li4BeO3 structure, as listed in the Alexandria database.

Cell lengths 4.796, 5.365, 6.766 Å; angles 110.23, 90.00, 116.55 degrees
Positions (direct):
Li 0.287 0.247 0.942
Li 0.960 0.247 0.442
Li 0.730 0.855 0.082
Li 0.861 0.425 0.123
Li 0.067 0.594 0.839
Li 0.565 0.425 0.623
Li 0.124 0.855 0.582
Li 0.527 0.594 0.339
Be 0.300 0.924 0.243
Be 0.625 0.924 0.743
O 0.600 0.233 0.297
O 0.981 0.879 0.323
O 0.321 0.622 0.601
O 0.301 0.622 0.101
O 0.899 0.879 0.823
O 0.633 0.233 0.797

Summary:
formation energy without anion corrections: -2.048 eV per atom
magnetization: 0.0 μB/f.u.

(18)
First-principles (PBE) data for a geometry-optimized Li2BeO structure, as listed in the Alexandria database.

Cell lengths 3.920, 3.920, 3.920 Å; angles 60.00, 60.00, 60.00 degrees
Positions (direct):
Li 0.750 0.750 0.750
Li 0.250 0.250 0.250
O 0.500 0.500 0.500
Be 0.000 0.000 0.000

Summary:
formation energy without anion corrections: -0.122 eV per atom
magnetization: 0.0 μB/f.u.

(19)
First-principles (PBE) data for a geometry-optimized Li2BeO structure, as listed in the Alexandria database.

Cell lengths 8.178, 8.178, 5.981 Å; angles 46.87, 46.87, 90.00 degrees
Positions (direct):
Be 0.250 0.750 0.500
Be 0.500 0.500 0.000
Li 0.964 0.625 0.250
Li 0.875 0.036 0.750
Li 0.786 0.125 0.250
Li 0.375 0.214 0.750
O 0.750 0.250 0.500
O 0.000 0.000 0.000

Summary:
formation energy without anion corrections: -0.946 eV per atom
magnetization: 0.0 μB/f.u.

(20)
First-principles (PBE) data for a geometry-optimized Li3BeO3 structure, as listed in the Alexandria database.

Cell lengths 6.301, 6.188, 6.188 Å; angles 57.10, 126.86, 126.86 degrees
Positions (direct):
Li 0.500 0.201 0.799
Li 0.485 0.788 0.788
Li 0.500 0.799 0.201
Li 0.000 0.784 0.216
Li 0.000 0.216 0.784
Li 0.515 0.212 0.212
O 0.723 0.959 0.523
O 0.788 0.030 0.030
O 0.277 0.477 0.041
O 0.212 0.970 0.970
O 0.277 0.041 0.477
O 0.723 0.523 0.959
Be 0.903 0.797 0.797
Be 0.097 0.203 0.203

Summary:
formation energy without anion corrections: -1.754 eV per atom
magnetization: 1.0 μB/f.u.

Calculated electronic total energy, -129.3; -113.6; -125.9; -100.2; -71.2; -153.3; -98.8; -19.1; -113.8; -10.7; -25.2; -17.4; -56.7; -37.1; -56.4; -56.6; -85.3; -13.0; -32.6; -73.2 eV for the cell shown (same order as the records).